[1]
First-principles (GGA-PBE) data for crystalline SmMgCdAg at its relaxed geometry, as listed in Alexandria via LeMat-Bulk.

Cell lengths 7.184, 7.184, 7.184 Å; angles 90.00, 90.00, 90.00 degrees
Space group F-43m (No. 216)
Inequivalent atoms, fractional coordinates:
Sm: 0.000 0.000 0.000 (multiplicity 4)
Mg: 0.000 0.000 0.500 (multiplicity 4)
Cd: 0.250 0.250 0.250 (multiplicity 4)
Ag: 0.250 0.250 0.750 (multiplicity 4)

Energy   -45.3 eV/cell
Size of the total moment   0.0 μB per formula unit


[2]
First-principles (GGA-PBE) data for crystalline Na5Cd2Pt at its relaxed geometry, as listed in Alexandria via LeMat-Bulk.

Cell lengths 6.563, 13.247, 4.531 Å; angles 90.00, 90.00, 90.00 degrees
Space group Pbam (No. 55)
Inequivalent atoms, fractional coordinates:
Na: 0.000 0.000 0.000 (multiplicity 2)
Na: 0.027 0.268 0.000 (multiplicity 4)
Na: 0.222 0.873 0.500 (multiplicity 4)
Cd: 0.190 0.597 0.500 (multiplicity 4)
Pt: 0.000 0.500 0.000 (multiplicity 2)

Energy   -30.4 eV/cell
Size of the total moment   0.0 μB per formula unit


[3]
First-principles (GGA-PBE) data for crystalline TbEuGa2 at its relaxed geometry, as listed in Alexandria via LeMat-Bulk.

Cell lengths 7.325, 7.325, 7.325 Å; angles 90.00, 90.00, 90.00 degrees
Space group Fm-3m (No. 225)
Inequivalent atoms, fractional coordinates:
Tb: 0.000 0.000 0.000 (multiplicity 4)
Eu: 0.000 0.000 0.500 (multiplicity 4)
Ga: 0.250 0.250 0.250 (multiplicity 8)

Energy   -91.7 eV/cell
Size of the total moment   7.1 μB per formula unit